{
  "formula": "DyPa2WC4",
  "functional": "PBE",
  "state": "optimized geometry",
  "lattice_angstrom": [[1.7328, -5.9454, 0.0000], [1.7328, 5.9454, 0.0000], [0.0000, 0.0000, 12.5780]],
  "species": ["Dy", "Dy", "Pa", "Pa", "Pa", "Pa", "W", "W", "C", "C", "C", "C", "C", "C", "C", "C"],
  "frac_coords": [[0.1108, 0.8892, 0.7500], [0.8892, 0.1108, 0.2500], [0.3669, 0.6331, 0.5388], [0.3669, 0.6331, 0.9612], [0.6331, 0.3669, 0.0388], [0.6331, 0.3669, 0.4612], [0.1569, 0.8431, 0.2500], [0.8431, 0.1569, 0.7500], [0.0000, 0.0000, 0.0000], [0.0000, 0.0000, 0.5000], [0.2639, 0.7361, 0.1290], [0.2639, 0.7361, 0.3710], [0.4386, 0.5614, 0.7500], [0.5614, 0.4386, 0.2500], [0.7361, 0.2639, 0.6290], [0.7361, 0.2639, 0.8710]],
  "vol_a3_per_cell": 259.2,
  "ef_ev_per_atom": -0.1069,
  "spacegroup": "No. 63"
}